CaFe2Ag after structural relaxation. Source: Alexandria via LeMat-Bulk, functional PBE.

Cell: 5.5146 8.8709 2.8179 Å, 90.00 90.00 90.00°
Closest atoms and distances in Å follow each position.
Space group Cmmm (No. 65)
Unique sites:
Ca (0.0000, 0.0000, 0.0000) x2  2 Ag 2.76, 2 Ca 2.82, 8 Fe 2.97
Fe (0.2500, 0.2500, 0.5000) x4  4 Fe 2.76-2.82, 4 Ca 2.97, 4 Ag 2.97
Ag (0.0000, 0.5000, 0.0000) x2  2 Ca 2.76, 2 Ag 2.82, 8 Fe 2.97

Total DFT energy (no corrections) ... -4.84 eV/atom
Density of states at the Fermi level ... 9.754 states/eV per cell
E_form ... 232 kJ/mol of formula units
Calculated volume ... 17.2 Å³/atom